## OsWCO2 (GGA+U)

Data for crystalline OsWCO2 at its relaxed geometry.

Cell and atoms, written as extended XYZ:
```
5
Lattice="3.678 0.000 0.000 0.000 3.678 0.000 0.000 0.000 4.299" Properties=species:S:1:pos:R:3 pbc="T T T"
Os 0.000 0.000 0.000
W 1.839 1.839 0.000
C 1.839 1.839 2.150
O 0.000 1.839 2.150
O 1.839 0.000 2.150
```

Results
- Total DFT energy (no corrections): -5.81 eV per atom
- Spin magnetization: 0.0 Bohr magnetons per cell